Compound: Ba2LiTl
Source: Alexandria via LeMat-Bulk
Functional: PBE-GGA
Structure: relaxed

## Properties
DOS at the Fermi energy: 5.2 states/eV per cell
ΔE_f: 0.311 eV/atom
Volume: 188 Å³ per cell
Magnetic moment: 0.0 Bohr magnetons per cell

a b c (Å): 8.117 8.117 8.117
angles (deg): 56.99 151.87 131.52
Fractional positions:
Ba (0.000, 0.255, 0.255)
Ba (0.000, 0.745, 0.745)
Li (0.000, 0.000, 0.000)
Tl (0.000, 0.500, 0.500)

=====

Compound: Ba3Li2Tl7
Source: Alexandria via LeMat-Bulk
Functional: PBE-GGA
Structure: relaxed

## Properties
DOS at the Fermi energy: 9.6 states/eV per cell
ΔE_f: -0.269 eV/atom
Volume: 388 Å³ per cell
Magnetic moment: 0.0 Bohr magnetons per cell

a b c (Å): 5.355 5.329 13.864
angles (deg): 101.08 90.00 90.00
Fractional positions:
Tl (0.500, 0.910, 0.820)
Tl (0.500, 0.090, 0.180)
Ba (0.500, 0.500, 0.000)
Li (0.000, 0.885, 0.770)
Tl (0.000, 0.586, 0.172)
Tl (0.000, 0.782, 0.563)
Tl (0.000, 0.218, 0.437)
Ba (0.500, 0.317, 0.635)
Tl (0.000, 0.000, 0.000)
Li (0.000, 0.115, 0.230)
Tl (0.000, 0.414, 0.828)
Ba (0.500, 0.683, 0.365)

=====

Compound: BaLi2Tl8
Source: Alexandria via LeMat-Bulk
Functional: PBE-GGA
Structure: relaxed

## Properties
DOS at the Fermi energy: 5.7 states/eV per cell
ΔE_f: 0.033 eV/atom
Volume: 390 Å³ per cell
Magnetic moment: 0.0 Bohr magnetons per cell

a b c (Å): 6.523 6.523 9.176
angles (deg): 90.00 90.00 90.00
Fractional positions:
Ba (0.500, 0.500, 0.500)
Tl (0.753, 0.753, 0.190)
Tl (0.247, 0.753, 0.810)
Tl (0.753, 0.247, 0.810)
Tl (0.753, 0.753, 0.810)
Tl (0.247, 0.247, 0.190)
Li (0.000, 0.500, 0.000)
Tl (0.753, 0.247, 0.190)
Tl (0.247, 0.753, 0.190)
Tl (0.247, 0.247, 0.810)
Li (0.500, 0.000, 0.000)

=====

Compound: Ba2Li3Tl4
Source: Alexandria via LeMat-Bulk
Functional: PBE-GGA
Structure: relaxed

## Properties
DOS at the Fermi energy: 12.1 states/eV per cell
ΔE_f: -0.272 eV/atom
Volume: 531 Å³ per cell
Magnetic moment: 0.0 Bohr magnetons per cell

a b c (Å): 6.510 9.226 9.414
angles (deg): 90.00 110.23 90.00
Fractional positions:
Tl (0.686, 0.750, 0.873)
Tl (0.818, 0.011, 0.636)
Li (0.500, 0.500, 0.000)
Li (0.000, 0.000, 0.000)
Ba (0.610, 0.905, 0.219)
Li (0.976, 0.250, 0.452)
Tl (0.314, 0.250, 0.127)
Ba (0.890, 0.405, 0.781)
Tl (0.814, 0.250, 0.127)
Li (0.524, 0.750, 0.548)
Tl (0.682, 0.511, 0.364)
Li (0.024, 0.750, 0.548)
Tl (0.318, 0.489, 0.636)
Tl (0.182, 0.989, 0.364)
Li (0.476, 0.250, 0.452)
Ba (0.110, 0.595, 0.219)
Tl (0.186, 0.750, 0.873)
Ba (0.390, 0.095, 0.781)

=====

Compound: Ba2LiTl
Source: Alexandria via LeMat-Bulk
Functional: PBE-GGA
Structure: relaxed

## Properties
DOS at the Fermi energy: 0.9 states/eV per cell
ΔE_f: -0.160 eV/atom
Volume: 139 Å³ per cell
Magnetic moment: 0.0 Bohr magnetons per cell

a b c (Å): 5.816 5.816 5.821
angles (deg): 119.95 119.95 90.01
Fractional positions:
Ba (0.000, 0.000, 0.000)
Tl (0.750, 0.250, 0.500)
Li (0.500, 0.500, 0.000)
Ba (0.250, 0.750, 0.500)

=====

Compound: BaLi4Tl2
Source: Alexandria via LeMat-Bulk
Functional: PBE-GGA
Structure: relaxed

## Properties
DOS at the Fermi energy: 4.1 states/eV per cell
ΔE_f: -0.174 eV/atom
Volume: 181 Å³ per cell
Magnetic moment: 0.0 Bohr magnetons per cell

a b c (Å): 4.175 4.175 10.399
angles (deg): 90.00 90.00 90.00
Fractional positions:
Li (0.500, 0.500, 0.500)
Ba (0.500, 0.500, 0.000)
Tl (0.500, 0.000, 0.714)
Li (0.000, 0.000, 0.500)
Li (0.000, 0.500, 0.705)
Tl (0.000, 0.500, 0.286)
Li (0.500, 0.000, 0.295)

=====

Compound: BaLi2Tl
Source: Alexandria via LeMat-Bulk
Functional: PBE-GGA
Structure: relaxed

## Properties
DOS at the Fermi energy: 6.1 states/eV per cell
ΔE_f: -0.104 eV/atom
Volume: 124 Å³ per cell
Magnetic moment: 0.2 Bohr magnetons per cell

a b c (Å): 5.602 5.602 5.602
angles (deg): 60.00 60.00 60.00
Fractional positions:
Ba (0.500, 0.500, 0.500)
Li (0.250, 0.250, 0.250)
Li (0.000, 0.000, 0.000)
Tl (0.750, 0.750, 0.750)

=====

Compound: BaLi9Tl4
Source: Alexandria via LeMat-Bulk
Functional: PBE-GGA
Structure: relaxed

## Properties
DOS at the Fermi energy: 16.5 states/eV per cell
ΔE_f: -0.226 eV/atom
Volume: 627 Å³ per cell
Magnetic moment: 0.0 Bohr magnetons per cell

a b c (Å): 9.403 9.403 9.720
angles (deg): 118.93 118.93 90.00
Fractional positions:
Li (0.568, 0.294, 0.000)
Li (0.062, 0.803, 0.365)
Li (0.562, 0.062, 0.365)
Tl (0.558, 0.706, 0.764)
Li (0.794, 0.068, 0.000)
Li (0.303, 0.562, 0.365)
Li (0.197, 0.697, 0.635)
Li (0.206, 0.932, 0.000)
Li (0.938, 0.197, 0.635)
Li (0.706, 0.568, 0.000)
Tl (0.206, 0.058, 0.764)
Tl (0.794, 0.942, 0.236)
Li (0.932, 0.794, 0.000)
Li (0.068, 0.206, 0.000)
Ba (0.250, 0.250, 0.500)
Tl (0.706, 0.206, 0.764)
Tl (0.058, 0.558, 0.764)
Li (0.803, 0.303, 0.365)
Tl (0.442, 0.294, 0.236)
Li (0.432, 0.706, 0.000)
Li (0.697, 0.438, 0.635)
Ba (0.750, 0.750, 0.500)
Li (0.500, 0.000, 0.000)
Li (0.438, 0.938, 0.635)
Li (0.000, 0.500, 0.000)
Tl (0.294, 0.794, 0.236)
Tl (0.942, 0.442, 0.236)
Li (0.294, 0.432, 0.000)

=====

Compound: Ba5Li4Tl
Source: Alexandria via LeMat-Bulk
Functional: PBE-GGA
Structure: relaxed

## Properties
DOS at the Fermi energy: 12.0 states/eV per cell
ΔE_f: -0.058 eV/atom
Volume: 421 Å³ per cell
Magnetic moment: 0.0 Bohr magnetons per cell

a b c (Å): 4.392 4.392 21.801
angles (deg): 90.00 90.00 90.00
Fractional positions:
Ba (0.500, 0.500, 0.300)
Li (0.000, 0.000, 0.804)
Tl (0.000, 0.000, 0.000)
Li (0.000, 0.000, 0.196)
Ba (0.500, 0.500, 0.908)
Ba (0.500, 0.500, 0.092)
Li (0.000, 0.000, 0.400)
Li (0.000, 0.000, 0.600)
Ba (0.500, 0.500, 0.700)
Ba (0.500, 0.500, 0.500)

=====

Compound: Ba2LiTl
Source: Alexandria via LeMat-Bulk
Functional: PBE-GGA
Structure: relaxed

## Properties
DOS at the Fermi energy: 2.2 states/eV per cell
ΔE_f: -0.052 eV/atom
Volume: 181 Å³ per cell
Magnetic moment: 0.0 Bohr magnetons per cell

a b c (Å): 11.434 11.434 11.434
angles (deg): 21.82 21.82 21.82
Fractional positions:
Tl (0.750, 0.750, 0.750)
Ba (0.006, 0.006, 0.006)
Li (0.250, 0.250, 0.250)
Ba (0.494, 0.494, 0.494)

=====

Compound: BaLi2Tl3
Source: Alexandria via LeMat-Bulk
Functional: PBE-GGA
Structure: relaxed

## Properties
DOS at the Fermi energy: 5.9 states/eV per cell
ΔE_f: -0.294 eV/atom
Volume: 335 Å³ per cell
Magnetic moment: 0.0 Bohr magnetons per cell

a b c (Å): 5.894 7.634 7.634
angles (deg): 102.88 90.00 90.00
Fractional positions:
Ba (0.750, 0.677, 0.677)
Tl (0.750, 0.099, 0.480)
Li (0.000, 0.799, 0.201)
Li (0.500, 0.799, 0.201)
Li (0.000, 0.201, 0.799)
Tl (0.750, 0.480, 0.099)
Tl (0.750, 0.072, 0.072)
Tl (0.250, 0.901, 0.520)
Li (0.500, 0.201, 0.799)
Tl (0.250, 0.928, 0.928)
Tl (0.250, 0.520, 0.901)
Ba (0.250, 0.323, 0.323)

=====

Compound: Ba3Li5Tl6
Source: Alexandria via LeMat-Bulk
Functional: PBE-GGA
Structure: relaxed

## Properties
DOS at the Fermi energy: 12.3 states/eV per cell
ΔE_f: -0.281 eV/atom
Volume: 809 Å³ per cell
Magnetic moment: 0.0 Bohr magnetons per cell

a b c (Å): 5.121 10.385 15.207
angles (deg): 90.00 90.00 90.00
Fractional positions:
Tl (0.000, 0.057, 0.500)
Li (0.500, 0.116, 0.162)
Tl (0.500, 0.584, 0.000)
Ba (0.500, 0.758, 0.203)
Li (0.000, 0.884, 0.338)
Tl (0.000, 0.977, 0.864)
Li (0.500, 0.116, 0.838)
Tl (0.000, 0.587, 0.679)
Ba (0.500, 0.730, 0.500)
Tl (0.000, 0.587, 0.321)
Tl (0.000, 0.416, 0.500)
Li (0.000, 0.773, 0.000)
Ba (0.000, 0.242, 0.297)
Li (0.000, 0.553, 0.878)
Tl (0.000, 0.977, 0.136)
Tl (0.500, 0.413, 0.179)
Li (0.500, 0.227, 0.500)
Ba (0.000, 0.242, 0.703)
Ba (0.500, 0.758, 0.797)
Tl (0.500, 0.943, 0.000)
Li (0.000, 0.553, 0.122)
Li (0.000, 0.884, 0.662)
Li (0.500, 0.447, 0.622)
Tl (0.500, 0.413, 0.821)
Tl (0.500, 0.023, 0.364)
Tl (0.500, 0.023, 0.636)
Li (0.500, 0.447, 0.378)
Ba (0.000, 0.270, 0.000)